# 1
A plane-wave DFT calculation with PBE was carried out for PmHo2Ni6 after structural relaxation.

Results
formation enthalpy at 0 K = -36.2 kJ per mole of atoms

```
data_PmHo2Ni6
_symmetry_space_group_name_H-M 'P 1'
_symmetry_Int_Tables_number 1
_cell_length_a 3.730
_cell_length_b 6.964
_cell_length_c 6.964
_cell_angle_alpha 120.00
_cell_angle_beta 90.00
_cell_angle_gamma 90.00
loop_
_symmetry_equiv_pos_as_xyz
'x,y,z'
loop_
_atom_site_label
_atom_site_type_symbol
_atom_site_fract_x
_atom_site_fract_y
_atom_site_fract_z
Ni1 Ni 0.500 0.335 0.000
Ni2 Ni 0.500 0.000 0.335
Ni3 Ni 0.500 0.335 0.335
Ni4 Ni 0.500 0.665 0.000
Ni5 Ni 0.500 0.000 0.665
Ni6 Ni 0.500 0.665 0.665
Ho1 Ho 0.000 0.333 0.667
Ho2 Ho 0.000 0.667 0.333
Pm1 Pm 0.000 0.000 0.000
```

# 2
A plane-wave DFT calculation with PBE was carried out for HfTa5Ru6 after structural relaxation.

Results
formation enthalpy at 0 K = -37.6 kJ per mole of atoms

```
data_HfTa5Ru6
_symmetry_space_group_name_H-M 'P 1'
_symmetry_Int_Tables_number 1
_cell_length_a 4.382
_cell_length_b 6.767
_cell_length_c 6.927
_cell_angle_alpha 90.00
_cell_angle_beta 108.39
_cell_angle_gamma 90.00
loop_
_symmetry_equiv_pos_as_xyz
'x,y,z'
loop_
_atom_site_label
_atom_site_type_symbol
_atom_site_fract_x
_atom_site_fract_y
_atom_site_fract_z
Ru1 Ru 0.500 0.253 0.000
Ru2 Ru 0.168 0.267 0.336
Ru3 Ru 0.168 0.733 0.336
Ru4 Ru 0.832 0.267 0.664
Ru5 Ru 0.500 0.747 0.000
Ru6 Ru 0.832 0.733 0.664
Hf1 Hf 0.000 0.000 0.000
Ta1 Ta 0.673 0.000 0.347
Ta2 Ta 0.665 0.500 0.330
Ta3 Ta 0.000 0.500 0.000
Ta4 Ta 0.327 0.000 0.653
Ta5 Ta 0.335 0.500 0.670
```

# 3
A plane-wave DFT calculation with PBE was carried out for CaReCl after structural relaxation.

Results
uncorrected formation energy = 0.29 eV per atom

```
data_CaReCl
_symmetry_space_group_name_H-M 'P 1'
_symmetry_Int_Tables_number 1
_cell_length_a 8.205
_cell_length_b 8.203
_cell_length_c 2.939
_cell_angle_alpha 79.71
_cell_angle_beta 79.65
_cell_angle_gamma 20.63
loop_
_symmetry_equiv_pos_as_xyz
'x,y,z'
loop_
_atom_site_label
_atom_site_type_symbol
_atom_site_fract_x
_atom_site_fract_y
_atom_site_fract_z
Cl1 Cl 0.377 0.377 0.623
Re1 Re 0.638 0.638 0.362
Ca1 Ca 0.985 0.985 0.015
```

# 4
A plane-wave DFT calculation with PBE was carried out for Nb2NiW after structural relaxation.

Results
formation enthalpy at 0 K = -4.0 kJ per mole of atoms

```
data_Nb2NiW
_symmetry_space_group_name_H-M 'P 1'
_symmetry_Int_Tables_number 1
_cell_length_a 3.250
_cell_length_b 3.250
_cell_length_c 6.063
_cell_angle_alpha 90.00
_cell_angle_beta 90.00
_cell_angle_gamma 90.00
loop_
_symmetry_equiv_pos_as_xyz
'x,y,z'
loop_
_atom_site_label
_atom_site_type_symbol
_atom_site_fract_x
_atom_site_fract_y
_atom_site_fract_z
Ni1 Ni 0.500 0.500 0.000
Nb1 Nb 0.000 0.000 0.755
Nb2 Nb 0.000 0.000 0.245
W1 W 0.500 0.500 0.500
```